(1)
DFT (PBE-GGA) results for SiNi2Ru after structural relaxation.

The spin magnetization is 0.758 μB/f.u. As for the crystal system: tetragonal. The value obtained for the total energy is -102.84 eV for the cell shown.

The structure belongs to space group I-42d (No. 122); the cell edges are 3.461, 3.461 and 17.324 Å and the angles 90.00°, 90.00° and 90.00°. The distinct sites, in fractional coordinates, are Si at (0.000, 0.000, 0.000), Ni at (0.239, 0.250, 0.125) and Ru at (0.000, 0.000, 0.500).

=====

(2)
DFT (PBE-GGA) results for Ti2CdCl after structural relaxation.

The spin magnetization is 0.893 μB/f.u. For the excess energy over the best structure of this formula in the dataset, the calculation gives 0 meV/atom. As for the crystal system: cubic.

The structure belongs to space group Fm-3m (No. 225); the cell edges are 6.632, 6.632 and 6.632 Å and the angles 90.00°, 90.00° and 90.00°. The distinct sites, in fractional coordinates, are Ti at (0.250, 0.250, 0.250), Cd at (0.000, 0.000, 0.000) and Cl at (0.000, 0.000, 0.500).

=====

(3)
DFT (PBE-GGA) results for Ho5Ni2Pb after structural relaxation.

The calculation puts the formation energy at -0.396 eV per atom. The spin magnetization is 0.002 μB/f.u. As for the crystal system: tetragonal.

The structure belongs to space group I4/mcm (No. 140); the cell edges are 7.672, 7.672 and 13.388 Å and the angles 90.00°, 90.00° and 90.00°. The distinct sites, in fractional coordinates, are Ho at (0.000, 0.000, 0.000), Ho at (0.158, 0.342, 0.134), Ni at (0.129, 0.371, 0.500) and Pb at (0.000, 0.000, 0.250).

=====

(4)
DFT (PBE-GGA) results for Sc4Te3Se after structural relaxation.

The spin magnetization is 0.000 μB/f.u. As for the crystal system: orthorhombic. The value obtained for the total energy is -96.16 eV for the cell shown.

The structure belongs to space group Cmmm (No. 65); the cell edges are 8.224, 11.614 and 4.079 Å and the angles 90.00°, 90.00° and 90.00°. The distinct sites, in fractional coordinates, are Sc at (0.000, 0.230, 0.000), Sc at (0.219, 0.000, 0.500), Te at (0.000, 0.500, 0.000), Te at (0.250, 0.250, 0.500) and Se at (0.000, 0.000, 0.000).

=====

(5)
DFT (PBE-GGA) results for SrHgCl2 after structural relaxation.

The spin magnetization is 0.000 μB/f.u. For the excess energy over the best structure of this formula in the dataset, the calculation gives 129 meV/atom. As for the crystal system: orthorhombic.

The structure belongs to space group Imm2 (No. 44); the cell edges are 3.912, 4.327 and 17.898 Å and the angles 90.00°, 90.00° and 90.00°. The distinct sites, in fractional coordinates, are Sr at (0.000, 0.000, 0.000), Hg at (0.000, 0.500, 0.265), Cl at (0.000, 0.000, 0.447) and Cl at (0.000, 0.500, 0.610).

=====

(6)
DFT (PBE-GGA) results for Y2TiTl2 after structural relaxation.

The calculation puts the formation energy at -0.111 eV per atom. The spin magnetization is 0.000 μB/f.u. As for the crystal system: tetragonal.

The structure belongs to space group P4/mbm (No. 127); the cell edges are 7.630, 7.630 and 4.528 Å and the angles 90.00°, 90.00° and 90.00°. The distinct sites, in fractional coordinates, are Y at (0.172, 0.328, 0.000), Ti at (0.000, 0.000, 0.500) and Tl at (0.139, 0.639, 0.500).

=====

(7)
DFT (PBE-GGA) results for AcPmBe2Ge2 after structural relaxation.

The calculation puts the formation energy at -0.578 eV per atom. The spin magnetization is 0.000 μB/f.u. As for the crystal system: trigonal.

The structure belongs to space group P-3m1 (No. 164); the cell edges are 4.0470, 4.0470 and 8.8876 Å and the angles 90.00°, 90.00° and 120.00°. The distinct sites, in fractional coordinates, are Ac at (0.0000, 0.0000, 0.0000), Pm at (0.0000, 0.0000, 0.5000), Be at (0.3333, 0.6667, 0.7337) and Ge at (0.3333, 0.6667, 0.2675).

=====

(8)
DFT (PBE-GGA) results for KCr2Fe after structural relaxation.

The calculation puts the formation energy at 1.227 eV per atom. The spin magnetization is 2.466 μB/f.u. For the excess energy over the best structure of this formula in the dataset, the calculation gives 453 meV/atom. As for the crystal system: orthorhombic.

The structure belongs to space group Imm2 (No. 44); the cell edges are 2.870, 5.282 and 10.025 Å and the angles 90.00°, 90.00° and 90.00°. The distinct sites, in fractional coordinates, are K at (0.000, 0.000, 0.000), Cr at (0.000, 0.000, 0.480), Cr at (0.000, 0.500, 0.787) and Fe at (0.000, 0.500, 0.211).

=====

(9)
DFT (PBE-GGA) results for Al2ZnIn after structural relaxation.

The calculation puts the formation energy at 0.116 eV per atom. The spin magnetization is 0.000 μB/f.u. As for the crystal system: orthorhombic.

The structure belongs to space group Pmm2 (No. 25); the cell edges are 2.935, 3.938 and 6.634 Å and the angles 90.00°, 90.00° and 90.00°. The distinct sites, in fractional coordinates, are Al at (0.000, 0.000, 0.000), Al at (0.500, 0.500, 0.223), Zn at (0.500, 0.500, 0.794) and In at (0.000, 0.000, 0.517).

=====

(10)
DFT (PBE-GGA) results for Tm4Ge2Bi after structural relaxation.

The calculation puts the formation energy at -0.599 eV per atom. The spin magnetization is 0.000 μB/f.u. As for the crystal system: tetragonal.

The structure belongs to space group I4_1/amd (No. 141, origin choice 2); the cell edges are 9.269, 9.269 and 9.416 Å and the angles 90.00°, 90.00° and 90.00°. The distinct sites, in fractional coordinates, are Tm at (0.000, 0.070, 0.214), Ge at (0.000, 0.000, 0.500) and Bi at (0.000, 0.250, 0.875).

=====

(11)
DFT (PBE-GGA) results for LiPu2S4 after structural relaxation.

The spin magnetization is 9.000 μB/f.u. For the excess energy over the best structure of this formula in the dataset, the calculation gives 41 meV/atom. As for the crystal system: orthorhombic.

The structure belongs to space group Pbam (No. 55); the cell edges are 6.866, 10.575 and 4.043 Å and the angles 90.00°, 90.00° and 90.00°. The distinct sites, in fractional coordinates, are Li at (0.000, 0.000, 0.000), Pu at (0.107, 0.318, 0.500), S at (0.116, 0.788, 0.000) and S at (0.238, 0.555, 0.500).

=====

(12)
DFT (PBE-GGA) results for Ti2RuBr after structural relaxation.

The spin magnetization is 0.000 μB/f.u. For the excess energy over the best structure of this formula in the dataset, the calculation gives 0 meV/atom. As for the crystal system: cubic.

The structure belongs to space group Fm-3m (No. 225); the cell edges are 6.389, 6.389 and 6.389 Å and the angles 90.00°, 90.00° and 90.00°. The distinct sites, in fractional coordinates, are Ti at (0.250, 0.250, 0.250), Ru at (0.000, 0.000, 0.000) and Br at (0.000, 0.000, 0.500).